Fe2AgWO: optimized geometry, PBE with a Hubbard U.

abc: 4.238 4.238 4.348
angles: 90.00 90.00 90.00
Space group P4/mmm (No. 123)
Inequivalent atoms, fractional coordinates:
Fe 0.000 0.500 0.000 [2 per cell]
Ag 0.000 0.000 0.500 [1 per cell]
W 0.500 0.500 0.500 [1 per cell]
O 0.500 0.500 0.000 [1 per cell]

Crystal system: tetragonal
Density: 8.918 g/cm3
Calculated total energy: -24.57 eV/cell
Calculated volume: 78 Å³/f.u.